(1)
DFT (GGA-PBE) results for a geometry-optimized Rb2BaB structure.

Cell and atoms, written as POSCAR:
```
Rb2BaB
1.0
4.3153 0.0000 -0.0052
0.0000 4.1047 0.0000
-2.1403 0.0000 11.7901
B Ba Rb
1 1 2
direct
0.6720 0.5000 0.0995 B
0.2087 0.0000 0.1731 Ba
0.8679 0.5000 0.4929 Rb
0.5587 0.0000 0.8705 Rb
```

Output
formation enthalpy at 0 K = 0.682 eV/atom
calculated volume = 52.197 Å³ per atom
energy = -1.952 eV/atom
space-group type = Amm2, No. 38
M_tot = 0.0 μB per cell

(2)
DFT (GGA-PBE) results for a geometry-optimized RbBa2B2Se6 structure.

Cell and atoms, written as POSCAR:
```
RbBa2B2Se6
1.0
6.8430 0.2911 0.6381
3.4977 6.2229 1.0086
0.3334 -2.3689 8.3943
Se B Ba Rb
6 2 2 1
direct
0.6542 0.1567 0.1511 Se
0.3458 0.8433 0.8489 Se
0.2660 0.4155 0.8177 Se
0.7340 0.5845 0.1823 Se
0.0396 0.7902 0.5811 Se
0.9604 0.2098 0.4189 Se
0.2222 0.6852 0.7483 B
0.7778 0.3148 0.2517 B
0.8219 0.3062 0.8263 Ba
0.1781 0.6938 0.1737 Ba
0.5000 0.0000 0.5000 Rb
```

Output
calculated volume = 32.614 Å³ per atom
energy = -4.531 eV/atom
space-group type = P-1, No. 2
M_tot = 1.0 μB per cell
formation energy from raw total energies = -979 meV per atom

(3)
DFT (GGA-PBE) results for a geometry-optimized RbBaSn2B structure.

Cell and atoms, written as POSCAR:
```
RbBaSn2B
1.0
6.1941 0.0000 0.0000
0.0000 5.1663 0.0000
0.0000 0.0000 6.1941
Sn Rb Ba B
2 1 1 1
direct
0.0000 0.0000 0.5000 Sn
0.5000 0.0000 0.0000 Sn
0.0000 0.0000 0.0000 Rb
0.5000 0.5000 0.5000 Ba
0.0000 0.5000 0.0000 B
```

Output
formation enthalpy at 0 K = 1.274 eV/atom
calculated volume = 39.643 Å³ per atom
energy = -2.240 eV/atom
space-group type = P4/mmm, No. 123
M_tot = 0.0 μB per cell

(4)
DFT (GGA-PBE) results for a geometry-optimized RbBa2BW structure.

Cell and atoms, written as POSCAR:
```
RbBa2BW
1.0
6.3806 0.0000 0.0000
0.0000 4.6555 0.0000
0.0000 0.0000 6.3806
Ba Rb B W
2 1 1 1
direct
0.5000 0.0000 0.0000 Ba
0.0000 0.0000 0.5000 Ba
0.0000 0.0000 0.0000 Rb
0.0000 0.5000 0.0000 B
0.5000 0.5000 0.5000 W
```

Output
formation enthalpy at 0 K = 2.302 eV/atom
calculated volume = 37.907 Å³ per atom
energy = -2.587 eV/atom
space-group type = P4/mmm, No. 123
M_tot = 4.3 μB per cell

(5)
DFT (GGA-PBE) results for a geometry-optimized RbBaYB2 structure.

Cell and atoms, written as POSCAR:
```
RbBaYB2
1.0
5.2362 0.0000 0.0000
0.0000 5.6587 0.0000
0.0000 0.0000 5.2362
B Ba Y Rb
2 1 1 1
direct
0.0000 0.0000 0.5000 B
0.5000 0.0000 0.0000 B
0.0000 0.5000 0.0000 Ba
0.5000 0.5000 0.5000 Y
0.0000 0.0000 0.0000 Rb
```

Output
formation enthalpy at 0 K = 2.190 eV/atom
calculated volume = 31.030 Å³ per atom
energy = -2.352 eV/atom
space-group type = P4/mmm, No. 123
M_tot = 0.0 μB per cell

(6)
DFT (GGA-PBE) results for a geometry-optimized Rb2BaZnB structure.

Cell and atoms, written as POSCAR:
```
Rb2BaZnB
1.0
7.1287 0.0000 0.0000
0.0000 4.1178 0.0000
0.0000 0.0000 7.1287
Zn Ba Rb B
1 1 2 1
direct
0.0000 0.0000 0.0000 Zn
0.5000 0.5000 0.5000 Ba
0.5000 0.0000 0.0000 Rb
0.0000 0.0000 0.5000 Rb
0.0000 0.5000 0.0000 B
```

Output
formation enthalpy at 0 K = 0.687 eV/atom
calculated volume = 41.852 Å³ per atom
energy = -1.675 eV/atom
space-group type = P4/mmm, No. 123
M_tot = 0.0 μB per cell

(7)
DFT (GGA-PBE) results for a geometry-optimized BaReB3 structure.

Cell and atoms, written as POSCAR:
```
BaReB3
1.0
4.4082 0.0000 0.0000
0.0000 4.4082 0.0000
0.0000 0.0000 4.4082
B Re Ba
3 1 1
direct
0.0000 0.0000 0.5000 B
0.5000 0.0000 0.0000 B
0.0000 0.5000 0.0000 B
0.5000 0.5000 0.5000 Re
0.0000 0.0000 0.0000 Ba
```

Output
formation enthalpy at 0 K = 3.715 eV/atom
calculated volume = 17.132 Å³ per atom
energy = -3.166 eV/atom
space-group type = Pm-3m, No. 221
M_tot = 0.0 μB per cell
energy above the most stable polymorph in this dataset = 1658 kJ/mol of formula units

(8)
DFT (GGA-PBE) results for a geometry-optimized BaReB3 structure.

Cell and atoms, written as POSCAR:
```
BaReB3
1.0
4.3190 0.0000 0.0000
0.0000 4.3190 0.0000
0.0000 0.0000 4.3190
Re B Ba
1 3 1
direct
0.0000 0.0000 0.0000 Re
0.0000 0.0000 0.5000 B
0.0000 0.5000 0.0000 B
0.5000 0.0000 0.0000 B
0.5000 0.5000 0.5000 Ba
```

Output
formation enthalpy at 0 K = 0.279 eV/atom
calculated volume = 16.114 Å³ per atom
energy = -6.602 eV/atom
space-group type = Pm-3m, No. 221
M_tot = 0.0 μB per cell
energy above the most stable polymorph in this dataset = 0 kJ/mol of formula units

(9)
DFT (GGA-PBE) results for a geometry-optimized BaRe3B structure.

Cell and atoms, written as POSCAR:
```
BaRe3B
1.0
4.4110 0.0000 0.0000
0.0000 4.4110 0.0000
0.0000 0.0000 4.4110
Re Ba B
3 1 1
direct
0.0000 0.0000 0.5000 Re
0.0000 0.5000 0.0000 Re
0.5000 0.0000 0.0000 Re
0.5000 0.5000 0.5000 Ba
0.0000 0.0000 0.0000 B
```

Output
formation enthalpy at 0 K = 1.152 eV/atom
calculated volume = 17.165 Å³ per atom
energy = -8.037 eV/atom
space-group type = Pm-3m, No. 221
M_tot = 0.0 μB per cell
energy above the most stable polymorph in this dataset = 0 kJ/mol of formula units

(10)
DFT (GGA-PBE) results for a geometry-optimized BaRe3B structure.

Cell and atoms, written as POSCAR:
```
BaRe3B
1.0
5.0669 0.0000 0.0000
0.0000 5.0669 0.0000
0.0000 0.0000 5.0669
Re Ba B
3 1 1
direct
0.5000 0.0000 0.0000 Re
0.0000 0.5000 0.0000 Re
0.0000 0.0000 0.5000 Re
0.0000 0.0000 0.0000 Ba
0.5000 0.5000 0.5000 B
```

Output
formation enthalpy at 0 K = 4.820 eV/atom
calculated volume = 26.016 Å³ per atom
energy = -4.369 eV/atom
space-group type = Pm-3m, No. 221
M_tot = 5.1 μB per cell
energy above the most stable polymorph in this dataset = 1770 kJ/mol of formula units

(11)
DFT (GGA-PBE) results for a geometry-optimized BaRe2B structure.

Cell and atoms, written as POSCAR:
```
BaRe2B
1.0
-0.0451 5.7505 -2.7906
-0.9285 -2.7669 -5.6868
-4.9650 1.7504 -3.6334
Re B Ba
4 2 2
direct
0.3749 0.6250 0.2500 Re
0.3751 0.1250 0.2500 Re
0.3750 0.6249 0.7500 Re
0.8750 0.6251 0.7500 Re
0.2500 0.7500 0.5000 B
0.5000 0.5000 0.0000 B
0.0000 0.0000 0.0000 Ba
0.7500 0.2500 0.5000 Ba
```

Output
formation enthalpy at 0 K = 1.082 eV/atom
calculated volume = 23.117 Å³ per atom
energy = -7.293 eV/atom
space-group type = Fd-3m, No. 227
M_tot = 0.0 μB per cell

(12)
DFT (GGA-PBE) results for a geometry-optimized Ba3ReB structure.

Cell and atoms, written as POSCAR:
```
Ba3ReB
1.0
-4.5999 0.7659 -3.3511
-3.4225 -0.4985 4.5840
0.3205 5.6693 0.8558
Ba B Re
3 1 1
direct
0.5000 0.0000 0.0000 Ba
0.0000 0.0000 0.5000 Ba
0.0000 0.5000 0.0000 Ba
0.0000 0.0000 0.0000 B
0.5000 0.5000 0.5000 Re
```

Output
formation enthalpy at 0 K = 1.369 eV/atom
calculated volume = 37.872 Å³ per atom
energy = -3.610 eV/atom
space-group type = Pm-3m, No. 221
M_tot = 2.7 μB per cell
energy above the most stable polymorph in this dataset = 0 kJ/mol of formula units

Number 1: D(E_F) 3.2 states/eV per cell. Number 2: D(E_F) 1.9 states/eV per cell. Number 3: D(E_F) 5.3 states/eV per cell. Number 4: D(E_F) 4.8 states/eV per cell. Number 5: D(E_F) 5.3 states/eV per cell. Number 6: D(E_F) 3.5 states/eV per cell. Number 7: D(E_F) 7.6 states/eV per cell. Number 8: D(E_F) 1.0 states/eV per cell. Number 9: D(E_F) 6.1 states/eV per cell. Number 10: D(E_F) 7.3 states/eV per cell. Number 11: D(E_F) 4.9 states/eV per cell. Number 12: D(E_F) 10.1 states/eV per cell.